Version 1
Entry from Alexandria: an optimized crystal structure of HgOsIN2 (PBE-GGA).

Geometry as POSCAR:
```
HgOsIN2
1.0
4.125 0.000 0.000
0.000 4.125 0.000
0.000 0.000 7.512
Hg Os I N
1 1 1 2
Cartesian
0.000 0.000 0.000
2.063 2.063 3.756
0.000 0.000 3.756
0.000 2.063 0.000
2.063 0.000 0.000
```

Calculated values
SG: P4/mmm, No. 123


Version 2
Entry from Alexandria: an optimized crystal structure of HgOsIN2 (PBE-GGA).

Geometry as POSCAR:
```
HgOsIN2
1.0
3.951 0.000 0.000
0.000 3.951 0.000
0.000 0.000 5.947
Hg Os I N
1 1 1 2
Cartesian
0.000 0.000 0.000
1.975 1.975 2.974
1.975 1.975 0.000
0.000 1.975 2.974
1.975 0.000 2.974
```

Calculated values
SG: P4/mmm, No. 123


So which one is most stable? That would be version 2, about 1809 meV per atom below the next structure.


Version 1
Entry from Alexandria: an optimized crystal structure of HgPbI2N (PBE-GGA).

Geometry as POSCAR:
```
HgPbI2N
1.0
6.372 0.000 0.000
0.000 6.372 0.000
0.000 0.000 4.097
Hg Pb I N
1 1 2 1
Cartesian
0.000 0.000 0.000
3.186 3.186 2.048
0.000 3.186 0.000
3.186 0.000 0.000
0.000 0.000 2.048
```

Calculated values
SG: P4/mmm, No. 123


Version 2
Entry from Alexandria: an optimized crystal structure of HgPbI2N (PBE-GGA).

Geometry as POSCAR:
```
HgPbI2N
1.0
6.314 0.000 0.000
0.000 6.314 0.000
0.000 0.000 4.874
Hg Pb I N
1 1 2 1
Cartesian
0.000 0.000 0.000
3.157 3.157 2.437
0.000 3.157 2.437
3.157 0.000 2.437
3.157 3.157 0.000
```

Calculated values
SG: P4/mmm, No. 123


So which one is most stable? That would be version 2, about 22 meV per atom below the next structure.


Version 1
Entry from Alexandria: an optimized crystal structure of HgPdIN2 (PBE-GGA).

Geometry as POSCAR:
```
HgPdIN2
1.0
4.094 0.000 0.000
0.000 4.094 0.000
0.000 0.000 7.427
Hg Pd I N
1 1 1 2
Cartesian
0.000 0.000 0.000
2.047 2.047 3.714
2.047 2.047 0.000
0.000 2.047 3.714
2.047 0.000 3.714
```

Calculated values
SG: P4/mmm, No. 123


Version 2
Entry from Alexandria: an optimized crystal structure of HgPdIN2 (PBE-GGA).

Geometry as POSCAR:
```
HgPdIN2
1.0
4.172 0.000 0.000
0.000 4.172 0.000
0.000 0.000 7.507
Hg Pd I N
1 1 1 2
Cartesian
0.000 0.000 0.000
2.086 2.086 3.754
0.000 0.000 3.754
0.000 2.086 0.000
2.086 0.000 0.000
```

Calculated values
SG: P4/mmm, No. 123


So which one is most stable? That would be version 1, about 472 meV per atom below the next structure.